Record 1
# Al2NiIO8 PBE with a Hubbard U optimized geometry
# Total energy (eV per atom): -5.71
data_Al2NiIO8
_chemical_formula_sum 'Al2 Ni1 I1 O8'
_space_group_name_H-M_alt 'P 1'
_space_group_IT_number 1
_space_group_name_Hall 'P 1'
_cell_length_a 4.496
_cell_length_b 4.496
_cell_length_c 5.954
_cell_angle_alpha 90.00
_cell_angle_beta 90.00
_cell_angle_gamma 92.17
loop_
_atom_site_label
_atom_site_fract_x
_atom_site_fract_y
_atom_site_fract_z
_atom_site_occupancy
Al1 0.000 0.000 0.243 1
Al2 0.000 0.000 0.757 1
Ni1 0.500 0.500 0.000 1
I1 0.500 0.500 0.500 1
O1 0.187 0.187 0.000 1
O2 0.192 0.192 0.500 1
O3 0.304 0.696 0.264 1
O4 0.304 0.696 0.736 1
O5 0.696 0.304 0.264 1
O6 0.696 0.304 0.736 1
O7 0.808 0.808 0.500 1
O8 0.813 0.813 0.000 1

Record 2
# AlNiI2O PBE with a Hubbard U optimized geometry
# Polymorph energy (0 for the lowest one) (eV per atom): 0.000
data_AlNiI2O
_chemical_formula_sum 'Al1 Ni1 I2 O1'
_space_group_name_H-M_alt 'P 1'
_space_group_IT_number 1
_space_group_name_Hall 'P 1'
_cell_length_a 5.693
_cell_length_b 5.693
_cell_length_c 3.495
_cell_angle_alpha 90.00
_cell_angle_beta 90.00
_cell_angle_gamma 90.00
loop_
_atom_site_label
_atom_site_fract_x
_atom_site_fract_y
_atom_site_fract_z
_atom_site_occupancy
Al1 0.000 0.000 0.000 1
Ni1 0.500 0.500 0.500 1
I1 0.000 0.500 0.000 1
I2 0.500 0.000 0.000 1
O1 0.000 0.000 0.500 1

Record 3
# AlNiI2O PBE with a Hubbard U optimized geometry
# Polymorph energy (0 for the lowest one) (eV per atom): 0.589
data_AlNiI2O
_chemical_formula_sum 'Al1 Ni1 I2 O1'
_space_group_name_H-M_alt 'P 1'
_space_group_IT_number 1
_space_group_name_Hall 'P 1'
_cell_length_a 6.023
_cell_length_b 6.023
_cell_length_c 3.520
_cell_angle_alpha 90.00
_cell_angle_beta 90.00
_cell_angle_gamma 90.00
loop_
_atom_site_label
_atom_site_fract_x
_atom_site_fract_y
_atom_site_fract_z
_atom_site_occupancy
Al1 0.000 0.000 0.000 1
Ni1 0.500 0.500 0.500 1
I1 0.000 0.500 0.500 1
I2 0.500 0.000 0.500 1
O1 0.500 0.500 0.000 1